The following is a DFT calculation (PBE) of a relaxed structure of PmYOsPd.

## Properties
* mass density: 10.3 g/cm3
* crystal system: cubic
* SG: F-43m, No. 216
* total magnetic moment: 0.00 μB per cell
* DFT formation energy: -431 meV per atom

Cell: 4.9491 4.9491 4.9491 Å, 60.00 60.00 60.00°
Last column: nearest neighbours and their distance in Å.
Atoms (fractional coordinates):
1 Y 0.7500 0.7500 0.7500  4 Os 3.03, 4 Pd 3.03
2 Os 0.5000 0.5000 0.5000  4 Y 3.03, 4 Pm 3.03
3 Pd 0.0000 0.0000 0.0000  4 Pm 3.03, 4 Y 3.03
4 Pm 0.2500 0.2500 0.2500  4 Os 3.03, 4 Pd 3.03